An optimized crystal structure of SrCr2OsO8. Source: the Alexandria database, functional PBE+U.

Summary:
As for the density of states at the Fermi level: 0.285 states/eV per cell. The final energy comes out at -7.196 eV/atom.

abc: 4.9346 4.9346 6.8856
angles: 99.13 99.13 77.20
Last column: nearest neighbours and their distance in Å.
Fractional coordinates of all 12 atoms:
Sr 0.0000 0.0000 0.0000  6 O 2.47-2.64
Cr 0.4523 0.4523 0.7807  5 O 1.81-2.02
Cr 0.5477 0.5477 0.2193  5 O 1.81-2.02
Os 0.0000 0.0000 0.5000  6 O 1.80-1.99
O 0.2230 0.7673 0.2938  1 Cr 1.82, 1 Os 1.99
O 0.2327 0.7770 0.7062  1 Cr 1.82, 1 Os 1.99
O 0.2380 0.2380 0.5618  1 Os 1.80, 1 Cr 2.00
O 0.3396 0.3396 0.9876  2 Cr 1.81-2.02
O 0.6604 0.6604 0.0124  2 Cr 1.81-2.02
O 0.7620 0.7620 0.4382  1 Os 1.80, 1 Cr 2.00
O 0.7673 0.2230 0.2938  1 Cr 1.82, 1 Os 1.99
O 0.7770 0.2327 0.7062  1 Cr 1.82, 1 Os 1.99